Computed, not measured: a relaxed RuPb2 crystal at the GGA-PBE level of DFT.

a b c (Å): 3.306 3.306 13.083
angles (deg): 90.00 90.00 90.00
Space group I4/mmm (No. 139)
Inequivalent atoms, fractional coordinates:
Ru (0.000, 0.000, 0.000)
Pb (0.000, 0.000, 0.367)

Summary:
* ΔE_f: 0.91 eV/f.u.
* V: 72 Å³/f.u.
* total magnetization: 0.000 μB/cell
* theoretical density: 12.0 g cm⁻³
* uncorrected energy: -31.559 eV/cell